Record 1
Here is crystalline CaPrDyLu at its relaxed geometry from Alexandria. Energies are from GGA-PBE.

a b c (Å): 5.768 5.768 5.768
angles (deg): 60.00 60.00 60.00
Fractional coordinates of all 4 atoms:
Ca  0.000  0.000  0.000
Pr  0.750  0.750  0.750
Dy  0.250  0.250  0.250
Lu  0.500  0.500  0.500

Results
DFT formation energy: 0.127 eV/atom
crystal system: cubic

***

Record 2
Here is crystalline AcCl4 at its relaxed geometry from Alexandria. Energies are from GGA-PBE.

a b c (Å): 8.052 8.052 7.928
angles (deg): 91.98 91.98 59.25
Fractional coordinates of all 10 atoms:
Ac  0.165  0.165  0.003
Ac  0.835  0.835  0.997
Cl  0.003  0.493  0.780
Cl  0.004  0.004  0.221
Cl  0.438  0.438  0.558
Cl  0.493  0.003  0.780
Cl  0.507  0.997  0.220
Cl  0.562  0.562  0.442
Cl  0.996  0.996  0.779
Cl  0.997  0.507  0.220

Results
formation energy from raw total energies: -907 kJ/mol of formula units
crystal system: monoclinic
relative energy among the computed polymorphs: 0 meV/atom

***

Record 3
Here is crystalline K12InHg6 at its relaxed geometry from Alexandria. Energies are from GGA-PBE.

a b c (Å): 10.453 10.453 10.453
angles (deg): 109.47 109.47 109.47
Fractional coordinates of all 19 atoms:
K  0.106  0.819  0.287
K  0.181  0.287  0.468
K  0.181  0.713  0.894
K  0.287  0.106  0.819
K  0.287  0.468  0.181
K  0.468  0.181  0.287
K  0.532  0.819  0.713
K  0.713  0.532  0.819
K  0.713  0.894  0.181
K  0.819  0.287  0.106
K  0.819  0.713  0.532
K  0.894  0.181  0.713
In  0.000  0.000  0.000
Hg  0.124  0.624  0.500
Hg  0.376  0.500  0.876
Hg  0.500  0.124  0.624
Hg  0.500  0.876  0.376
Hg  0.624  0.500  0.124
Hg  0.876  0.376  0.500

Results
DFT formation energy: -0.143 eV/atom
crystal system: cubic

***

What is the formula in the third record?
K12InHg6

***

Number 2 is which compound?
AcCl4

***

Which formula does entry 2 have?
AcCl4